Record 1
The following is a DFT calculation (PBE) of a geometry-optimized LiScNi2Ge2 structure.

Structure (POSCAR):
```
LiScNi2Ge2
1.0
4.108 0.000 0.000
-2.054 3.557 0.000
0.000 0.000 5.947
Li Sc Ni Ge
1 1 2 2
direct
0.000 0.000 0.000 Li
0.000 0.000 0.500 Sc
0.333 0.667 0.788 Ni
0.667 0.333 0.212 Ni
0.333 0.667 0.220 Ge
0.667 0.333 0.780 Ge
```

Computed properties:
Formation enthalpy at 0 K (meV/atom): -567
Symmetry: P-3m1, No. 164

***

Record 2
The following is a DFT calculation (PBE) of a geometry-optimized Ho2GaHPt6 structure.

Structure (POSCAR):
```
Ho2GaHPt6
1.0
2.808 1.621 6.176
-2.808 1.621 6.176
0.000 -3.242 6.176
Ho Ga H Pt
2 1 1 6
direct
0.214 0.214 0.214 Ho
0.786 0.786 0.786 Ho
0.500 0.500 0.500 Ga
0.000 0.000 0.000 H
0.231 0.231 0.730 Pt
0.231 0.730 0.231 Pt
0.270 0.769 0.769 Pt
0.730 0.231 0.231 Pt
0.769 0.270 0.769 Pt
0.769 0.769 0.270 Pt
```

Computed properties:
VASP energy (eV/atom): -6.02
Symmetry: R-3m, No. 166

***

Record 3
The following is a DFT calculation (PBE) of a geometry-optimized TlZnCr2 structure.

Structure (POSCAR):
```
TlZnCr2
1.0
4.323 0.000 0.000
0.000 4.323 0.000
0.000 0.000 3.705
Tl Zn Cr
1 1 2
direct
0.000 0.000 0.000 Tl
0.500 0.500 0.000 Zn
0.000 0.500 0.500 Cr
0.500 0.000 0.500 Cr
```

Computed properties:
Formation enthalpy at 0 K (meV/atom): 539
Symmetry: P4/mmm, No. 123

***

Record 4
The following is a DFT calculation (PBE) of a geometry-optimized CaGa4Pt2Rh structure.

Structure (POSCAR):
```
CaGa4Pt2Rh
1.0
2.135 1.233 9.020
-2.135 1.233 9.020
0.000 -2.465 9.020
Ca Ga Pt Rh
1 4 2 1
direct
0.000 0.000 0.000 Ca
0.133 0.133 0.133 Ga
0.401 0.401 0.401 Ga
0.599 0.599 0.599 Ga
0.867 0.867 0.867 Ga
0.235 0.235 0.235 Pt
0.765 0.765 0.765 Pt
0.500 0.500 0.500 Rh
```

Computed properties:
Formation enthalpy at 0 K (meV/atom): -659
Symmetry: R-3m, No. 166

***

Record 5
The following is a DFT calculation (PBE) of a geometry-optimized YZr3Zn4 structure.

Structure (POSCAR):
```
YZr3Zn4
1.0
2.401 1.386 7.847
-2.401 1.386 7.847
0.000 -2.772 7.847
Y Zr Zn
1 3 4
direct
0.000 0.000 0.000 Y
0.247 0.247 0.247 Zr
0.500 0.500 0.500 Zr
0.753 0.753 0.753 Zr
0.126 0.126 0.126 Zn
0.376 0.376 0.376 Zn
0.624 0.624 0.624 Zn
0.874 0.874 0.874 Zn
```

Computed properties:
Formation enthalpy at 0 K (meV/atom): -258
Symmetry: R-3m, No. 166

***

Record 6
The following is a DFT calculation (PBE) of a geometry-optimized Li2Cd2GaPd5 structure.

Structure (POSCAR):
```
Li2Cd2GaPd5
1.0
9.480 0.000 0.000
0.000 9.480 0.000
0.000 0.000 3.427
Li Cd Ga Pd
4 4 2 10
direct
0.125 0.375 0.000 Li
0.375 0.875 0.000 Li
0.625 0.125 0.000 Li
0.875 0.625 0.000 Li
0.173 0.673 0.000 Cd
0.327 0.173 0.000 Cd
0.673 0.827 0.000 Cd
0.827 0.327 0.000 Cd
0.000 0.000 0.000 Ga
0.500 0.500 0.000 Ga
0.000 0.500 0.500 Pd
0.070 0.198 0.500 Pd
0.198 0.930 0.500 Pd
0.302 0.430 0.500 Pd
0.430 0.698 0.500 Pd
0.500 0.000 0.500 Pd
0.570 0.302 0.500 Pd
0.698 0.570 0.500 Pd
0.802 0.070 0.500 Pd
0.930 0.802 0.500 Pd
```

Computed properties:
Formation enthalpy at 0 K (meV/atom): -418
Symmetry: P4/mbm, No. 127

***

Record 7
The following is a DFT calculation (PBE) of a geometry-optimized ZrVRu2 structure.

Structure (POSCAR):
```
ZrVRu2
1.0
3.071 0.000 0.000
0.000 3.071 0.000
0.000 0.000 6.635
Zr V Ru
1 1 2
direct
0.000 0.000 0.000 Zr
0.000 0.000 0.500 V
0.500 0.500 0.283 Ru
0.500 0.500 0.717 Ru
```

Computed properties:
Formation enthalpy at 0 K (meV/atom): -359
Symmetry: P4/mmm, No. 123

***

Record 8
The following is a DFT calculation (PBE) of a geometry-optimized InNi2Rh structure.

Structure (POSCAR):
```
InNi2Rh
1.0
8.762 0.000 0.000
0.000 2.918 0.000
-1.023 0.000 4.490
In Ni Rh
2 4 2
direct
0.000 0.000 0.000 In
0.500 0.500 0.000 In
0.246 0.000 0.724 Ni
0.254 0.500 0.276 Ni
0.746 0.500 0.724 Ni
0.754 0.000 0.276 Ni
0.000 0.500 0.500 Rh
0.500 0.000 0.500 Rh
```

Computed properties:
Formation enthalpy at 0 K (meV/atom): -8
Symmetry: C2/m, No. 12

***

Record 9
The following is a DFT calculation (PBE) of a geometry-optimized Ti4NbGa2 structure.

Structure (POSCAR):
```
Ti4NbGa2
1.0
4.767 0.000 0.000
0.000 4.767 0.000
0.000 0.000 13.007
Ti Nb Ga
8 2 4
direct
0.000 0.000 0.188 Ti
0.000 0.000 0.812 Ti
0.000 0.500 0.000 Ti
0.000 0.500 0.500 Ti
0.500 0.000 0.000 Ti
0.500 0.000 0.500 Ti
0.500 0.500 0.312 Ti
0.500 0.500 0.688 Ti
0.000 0.000 0.000 Nb
0.500 0.500 0.500 Nb
0.000 0.000 0.387 Ga
0.000 0.000 0.613 Ga
0.500 0.500 0.113 Ga
0.500 0.500 0.887 Ga
```

Computed properties:
Formation enthalpy at 0 K (meV/atom): 673
Symmetry: I4/mmm, No. 139

***

Record 10
The following is a DFT calculation (PBE) of a geometry-optimized GaRhC2 structure.

Structure (POSCAR):
```
GaRhC2
1.0
4.633 0.000 0.000
0.000 4.633 0.000
0.000 0.000 9.449
Ga Rh C
4 4 8
direct
0.000 0.000 0.000 Ga
0.000 0.500 0.250 Ga
0.500 0.000 0.750 Ga
0.500 0.500 0.500 Ga
0.000 0.000 0.500 Rh
0.000 0.500 0.750 Rh
0.500 0.000 0.250 Rh
0.500 0.500 0.000 Rh
0.234 0.250 0.625 C
0.250 0.734 0.875 C
0.250 0.766 0.375 C
0.266 0.250 0.125 C
0.734 0.750 0.125 C
0.750 0.234 0.375 C
0.750 0.266 0.875 C
0.766 0.750 0.625 C
```

Computed properties:
Formation enthalpy at 0 K (meV/atom): 819
Symmetry: I-42d, No. 122

***

Record 11
The following is a DFT calculation (PBE) of a geometry-optimized Pa3Ga4Re structure.

Structure (POSCAR):
```
Pa3Ga4Re
1.0
3.312 0.000 0.000
0.000 10.019 0.000
0.000 0.000 10.127
Pa Ga Re
6 8 2
direct
0.000 0.000 0.000 Pa
0.000 0.500 0.226 Pa
0.000 0.500 0.774 Pa
0.500 0.000 0.274 Pa
0.500 0.000 0.726 Pa
0.500 0.500 0.500 Pa
0.000 0.244 0.372 Ga
0.000 0.244 0.628 Ga
0.000 0.756 0.372 Ga
0.000 0.756 0.628 Ga
0.500 0.256 0.128 Ga
0.500 0.256 0.872 Ga
0.500 0.744 0.128 Ga
0.500 0.744 0.872 Ga
0.000 0.000 0.500 Re
0.500 0.500 0.000 Re
```

Computed properties:
Formation enthalpy at 0 K (meV/atom): -90
Symmetry: Immm, No. 71

***

Record 12
The following is a DFT calculation (PBE) of a geometry-optimized NdTm2Ru structure.

Structure (POSCAR):
```
NdTm2Ru
1.0
7.331 0.000 0.000
0.000 9.125 0.000
0.000 0.000 6.361
Nd Tm Ru
4 8 4
direct
0.040 0.250 0.130 Nd
0.460 0.750 0.630 Nd
0.540 0.250 0.370 Nd
0.960 0.750 0.870 Nd
0.176 0.066 0.665 Tm
0.176 0.434 0.665 Tm
0.324 0.566 0.165 Tm
0.324 0.934 0.165 Tm
0.676 0.066 0.835 Tm
0.676 0.434 0.835 Tm
0.824 0.566 0.335 Tm
0.824 0.934 0.335 Tm
0.115 0.750 0.447 Ru
0.385 0.250 0.947 Ru
0.615 0.750 0.053 Ru
0.885 0.250 0.553 Ru
```

Computed properties:
Formation enthalpy at 0 K (meV/atom): -306
Symmetry: Pnma, No. 62